Density functional theory data (PBE) for crystalline La3TbPm7 at its relaxed geometry.

Lattice parameters (Å, degrees): 5.9960 8.6462 8.6462 82.75 110.31 110.31
With the nearest neighbours (Å) after each atom.
Positions (direct):
Pm: 0.2088 0.2084 0.2084  1 Tb 3.36, 2 La 3.42, 2 Pm 3.55
Pm: 0.3001 0.0031 0.5969  2 La 3.27-3.58, 3 Pm 3.38-3.55
Pm: 0.3001 0.5969 0.0031  2 La 3.27-3.58, 3 Pm 3.38-3.55
Pm: 0.6999 0.4031 0.9969  2 La 3.27-3.58, 3 Pm 3.38-3.55
Pm: 0.0000 0.5000 0.5000  2 Tb 3.00, 2 La 3.28
Pm: 0.6999 0.9969 0.4031  2 La 3.27-3.58, 3 Pm 3.38-3.55
Pm: 0.7912 0.7916 0.7916  1 Tb 3.36, 2 La 3.42, 2 Pm 3.55
La: 0.5000 0.0000 0.0000  4 Pm 3.27
La: 0.0000 0.2130 0.7870  5 Pm 3.28-3.58
La: 0.0000 0.7870 0.2130  5 Pm 3.28-3.58
Tb: 0.5000 0.5000 0.5000  4 Pm 3.00-3.36

Its energy above the most stable polymorph in this dataset is 0.016 eV per atom. The calculation puts the energy of formation at 0.231 eV/atom. For the calculated density, the calculation gives 6.70 g cm⁻³.